[1]
Here is a relaxed structure of TePtCl2 from the Alexandria database. Energies are from PBE-GGA.

Cell: 3.683 5.204 15.003 Å, 90.00 90.00 90.00°
Space group Imm2 (No. 44)
Unique sites:
Te 0.000 0.000 0.000
Pt 0.000 0.500 0.386
Cl 0.000 0.000 0.779
Cl 0.000 0.500 0.043

Properties
ρ   4.55 g/cm³
Raw formation energy   -0.42 eV per atom
Total DFT energy (no corrections)   -3.637 eV/atom



[2]
Here is a relaxed structure of Te2PtCl from the Alexandria database. Energies are from PBE-GGA.

Cell: 3.603 3.603 7.465 Å, 90.00 90.00 90.00°
Space group P4/mmm (No. 123)
Unique sites:
Te 0.000 0.000 0.188
Pt 0.500 0.500 0.000
Cl 0.500 0.500 0.500

Properties
ρ   8.32 g/cm³
Raw formation energy   -0.03 eV per atom
Fermi-level density of states   1.52 states/eV per cell
Total DFT energy (no corrections)   -3.569 eV/atom



[3]
Here is a relaxed structure of TePtCl2 from the Alexandria database. Energies are from PBE-GGA.

Cell: 7.208 3.741 8.365 Å, 90.00 103.07 90.00°
Space group Cm (No. 8)
Unique sites:
Te 0.000 0.000 0.000
Pt 0.193 0.500 0.176
Cl 0.163 0.000 0.765
Cl 0.344 0.000 0.354

Properties
ρ   5.95 g/cm³
Raw formation energy   -0.46 eV per atom
Fermi-level density of states   0.00 states/eV per cell
Total DFT energy (no corrections)   -3.677 eV/atom



[4]
Here is a relaxed structure of Te2PtCl from the Alexandria database. Energies are from PBE-GGA.

Cell: 3.587 3.587 9.073 Å, 90.00 90.00 90.00°
Space group P4mm (No. 99)
Unique sites:
Te 0.000 0.000 0.000
Te 0.500 0.500 0.392
Pt 0.500 0.500 0.103
Cl 0.000 0.000 0.730

Properties
ρ   6.91 g/cm³
Raw formation energy   -0.07 eV per atom
Fermi-level density of states   1.81 states/eV per cell
Total DFT energy (no corrections)   -3.614 eV/atom



[5]
Here is a relaxed structure of TePtCl2 from the Alexandria database. Energies are from PBE-GGA.

Cell: 5.139 5.139 3.143 Å, 90.00 90.00 90.00°
Space group P4/mmm (No. 123)
Unique sites:
Te 0.000 0.000 0.000
Pt 0.500 0.500 0.000
Cl 0.000 0.500 0.500

Properties
ρ   7.87 g/cm³
Raw formation energy   0.70 eV per atom
Fermi-level density of states   4.99 states/eV per cell
Total DFT energy (no corrections)   -2.519 eV/atom



[6]
Here is a relaxed structure of TePtCl2 from the Alexandria database. Energies are from PBE-GGA.

Cell: 5.340 3.719 5.665 Å, 90.00 116.88 90.00°
Space group Pm (No. 6)
Unique sites:
Te 0.000 0.000 0.000
Pt 0.865 0.500 0.228
Cl 0.260 0.500 0.675
Cl 0.634 0.000 0.375

Properties
ρ   6.51 g/cm³
Raw formation energy   -0.23 eV per atom
Fermi-level density of states   0.92 states/eV per cell
Total DFT energy (no corrections)   -3.448 eV/atom



[7]
Here is a relaxed structure of TePt3Cl from the Alexandria database. Energies are from PBE-GGA.

Cell: 4.664 4.664 4.664 Å, 90.00 90.00 90.00°
Space group Pm-3m (No. 221)
Unique sites:
Te 0.000 0.000 0.000
Pt 0.000 0.500 0.500
Cl 0.500 0.500 0.500

Properties
ρ   12.24 g/cm³
Raw formation energy   0.94 eV per atom
Fermi-level density of states   3.91 states/eV per cell
Total DFT energy (no corrections)   -3.678 eV/atom



[8]
Here is a relaxed structure of Te2PtCl from the Alexandria database. Energies are from PBE-GGA.

Cell: 4.0812 4.0812 22.0662 Å, 90.00 90.00 120.00°
Space group R3m (No. 160, hexagonal axes)
Unique sites:
Te 0.0000 0.0000 0.0000
Te 0.0000 0.0000 0.2135
Pt 0.0000 0.0000 0.6072
Cl 0.0000 0.0000 0.7866

Properties
ρ   7.60 g/cm³
Raw formation energy   -0.42 eV per atom
Fermi-level density of states   7.85 states/eV per cell
Total DFT energy (no corrections)   -3.964 eV/atom



[9]
Here is a relaxed structure of TePt2Cl2 from the Alexandria database. Energies are from PBE-GGA.

Cell: 7.527 7.527 4.452 Å, 90.00 90.00 90.00°
Space group P4/mbm (No. 127)
Unique sites:
Te 0.000 0.000 0.000
Pt 0.221 0.279 0.000
Cl 0.157 0.343 0.500

Properties
ρ   7.75 g/cm³
Raw formation energy   0.03 eV per atom
Fermi-level density of states   5.13 states/eV per cell
ΔE to the lowest computed polymorph   0.00 kJ/mol of atoms
Total DFT energy (no corrections)   -3.755 eV/atom



[10]
Here is a relaxed structure of Te2PtCl from the Alexandria database. Energies are from PBE-GGA.

Cell: 4.196 6.029 8.290 Å, 90.00 90.00 90.00°
Space group Immm (No. 71)
Unique sites:
Te 0.000 0.000 0.188
Pt 0.000 0.500 0.500
Cl 0.000 0.500 0.000

Properties
ρ   7.69 g/cm³
Raw formation energy   -0.03 eV per atom
Fermi-level density of states   4.31 states/eV per cell
Total DFT energy (no corrections)   -3.572 eV/atom



[11]
Here is a relaxed structure of TePtCl2 from the Alexandria database. Energies are from PBE-GGA.

Cell: 3.127 4.640 5.569 Å, 90.00 90.00 90.00°
Space group Pmmm (No. 47)
Unique sites:
Te 0.000 0.000 0.000
Pt 0.500 0.000 0.500
Cl 0.000 0.500 0.500
Cl 0.500 0.500 0.000

Properties
ρ   8.09 g/cm³
Raw formation energy   0.33 eV per atom
Fermi-level density of states   2.25 states/eV per cell
Total DFT energy (no corrections)   -2.885 eV/atom



[12]
Here is a relaxed structure of TePtCl2 from the Alexandria database. Energies are from PBE-GGA.

Cell: 3.727 7.023 8.705 Å, 90.00 90.00 90.00°
Space group Cmm2 (No. 35)
Unique sites:
Te 0.000 0.000 0.000
Pt 0.000 0.500 0.196
Cl 0.000 0.000 0.379
Cl 0.000 0.500 0.747

Properties
ρ   5.74 g/cm³
Raw formation energy   -0.09 eV per atom
Fermi-level density of states   7.93 states/eV per cell
Total DFT energy (no corrections)   -3.306 eV/atom



Number 1: calculated volume 35.937 A^3/atom. Number 2: calculated volume 24.230 A^3/atom. Number 3: calculated volume 27.465 A^3/atom. Number 4: calculated volume 29.175 A^3/atom. Number 5: calculated volume 20.751 A^3/atom. Number 6: calculated volume 25.084 A^3/atom. Number 7: calculated volume 20.296 A^3/atom. Number 8: calculated volume 26.525 A^3/atom. Number 9: calculated volume 25.223 A^3/atom. Number 10: calculated volume 26.217 A^3/atom. Number 11: calculated volume 20.197 A^3/atom. Number 12: calculated volume 28.484 A^3/atom.